1.
This record from Alexandria describes a PBEsol-optimized structure of Lu3Mg2TiS8. The functional is SCAN.

Cell: 7.6256 7.6256 18.2757 Å, 90.00 90.00 120.00°
Space group R-3m (No. 166, hexagonal axes)
One atom of each set of equivalent atoms:
1 Lu 0.0000 0.5000 0.0000
2 Mg 0.0000 0.0000 0.1238
3 Ti 0.0000 0.0000 0.5000
4 S 0.0000 0.0000 0.2558
5 S 0.0252 0.5126 0.2467

total magnetization: 0.071 μB/atom
formation energy from raw total energies: -2.001 eV/atom
calculated total energy: -21.22 eV per atom
density: 4.75 g/cm³

2.
This record from Alexandria describes a PBEsol-optimized structure of Lu3Mg2VS8. The functional is SCAN.

Cell: 7.6004 7.6004 18.2330 Å, 90.00 90.00 120.00°
Space group R-3m (No. 166, hexagonal axes)
One atom of each set of equivalent atoms:
1 Lu 0.0000 0.5000 0.0000
2 Mg 0.0000 0.0000 0.1239
3 V 0.0000 0.0000 0.5000
4 S 0.0000 0.0000 0.2557
5 S 0.0280 0.5140 0.2456

total magnetization: 0.143 μB/atom
formation energy from raw total energies: -1.912 eV/atom
calculated total energy: -21.23 eV per atom
density: 4.81 g/cm³

3.
This record from Alexandria describes a PBEsol-optimized structure of LuMgVS4. The functional is SCAN.

Cell: 7.3722 7.5295 10.3722 Å, 90.00 90.00 90.00°
Space group Imma (No. 74)
One atom of each set of equivalent atoms:
1 Lu 0.0000 0.0000 0.0000
2 Mg 0.0000 0.2500 0.3702
3 V 0.2500 0.2500 0.7500
4 S 0.0000 0.0352 0.7469
5 S 0.2447 0.2500 0.9846

total magnetization: 0.286 μB/atom
formation energy from raw total energies: -1.696 eV/atom
calculated total energy: -18.31 eV per atom
density: 4.37 g/cm³

4.
This record from Alexandria describes a PBEsol-optimized structure of YLuMg2. The functional is SCAN.

Cell: 7.4418 7.4418 7.4418 Å, 90.00 90.00 90.00°
Space group Fm-3m (No. 225)
One atom of each set of equivalent atoms:
1 Y 0.0000 0.0000 0.0000
2 Lu 0.0000 0.0000 0.5000
3 Mg 0.2500 0.2500 0.2500

total magnetization: 0.000 μB/atom
calculated total energy: -23.36 eV per atom
ΔH_f (0 K): -0.07 eV per atom
density: 5.04 g/cm³

5.
This record from Alexandria describes a PBEsol-optimized structure of LuMgZn2. The functional is SCAN.

Cell: 6.6327 6.6327 6.6327 Å, 90.00 90.00 90.00°
Space group Fm-3m (No. 225)
One atom of each set of equivalent atoms:
1 Lu 0.0000 0.0000 0.0000
2 Mg 0.0000 0.0000 0.5000
3 Zn 0.2500 0.2500 0.2500

total magnetization: 0.000 μB/atom
calculated total energy: -22.24 eV per atom
ΔH_f (0 K): -0.40 eV per atom
density: 7.51 g/cm³

6.
This record from Alexandria describes a PBEsol-optimized structure of Lu6Mn23. The functional is SCAN.

Cell: 11.5561 11.5561 11.5561 Å, 90.00 90.00 90.00°
Space group Fm-3m (No. 225)
One atom of each set of equivalent atoms:
1 Lu 0.0000 0.0000 0.2041
2 Mn 0.0000 0.0000 0.5000
3 Mn 0.0000 0.2500 0.2500
4 Mn 0.1212 0.1212 0.3788
5 Mn 0.1765 0.1765 0.1765

total magnetization: 0.478 μB/atom
calculated total energy: -26.07 eV per atom
ΔH_f (0 K): -0.14 eV per atom
density: 9.96 g/cm³

7.
This record from Alexandria describes a PBEsol-optimized structure of Lu6MnSb2. The functional is SCAN.

Cell: 7.8705 7.8705 4.0733 Å, 90.00 90.00 120.00°
Space group P-62m (No. 189)
One atom of each set of equivalent atoms:
1 Lu 0.0000 0.3907 0.0000
2 Lu 0.0000 0.7660 0.5000
3 Mn 0.0000 0.0000 0.0000
4 Sb 0.3333 0.6667 0.5000

total magnetization: 0.015 μB/atom
formation energy from raw total energies: -0.608 eV/atom
calculated total energy: -47.81 eV per atom
density: 10.25 g/cm³

8.
This record from Alexandria describes a PBEsol-optimized structure of LuMn2Si2. The functional is SCAN.

Cell: 3.8005 3.8005 10.1362 Å, 90.00 90.00 90.00°
Space group I4/mmm (No. 139)
One atom of each set of equivalent atoms:
1 Lu 0.0000 0.0000 0.0000
2 Mn 0.0000 0.5000 0.2500
3 Si 0.0000 0.0000 0.3816

total magnetization: 0.812 μB/atom
formation energy from raw total energies: -0.703 eV/atom
calculated total energy: -23.08 eV per atom
density: 7.74 g/cm³

9.
This record from Alexandria describes a PBEsol-optimized structure of Lu2Mn3Si5. The functional is SCAN.

Cell: 10.3723 10.3723 5.2710 Å, 90.00 90.00 90.00°
Space group P4/mnc (No. 128)
One atom of each set of equivalent atoms:
1 Lu 0.0760 0.2361 0.0000
2 Mn 0.0000 0.5000 0.2500
3 Mn 0.1215 0.8539 0.5000
4 Si 0.0000 0.0000 0.2524
5 Si 0.0270 0.3143 0.5000
6 Si 0.1746 0.6746 0.2500

total magnetization: 0.077 μB/atom
formation energy from raw total energies: -0.640 eV/atom
calculated total energy: -22.19 eV per atom
density: 7.67 g/cm³

10.
This record from Alexandria describes a PBEsol-optimized structure of LuMnSi. The functional is SCAN.

Cell: 6.7103 4.0104 7.2372 Å, 90.00 90.00 90.00°
Space group Pnma (No. 62)
One atom of each set of equivalent atoms:
1 Lu 0.0043 0.2500 0.1875
2 Mn 0.1441 0.2500 0.5586
3 Si 0.2094 0.7500 0.3872

total magnetization: 0.864 μB/atom
formation energy from raw total energies: -0.636 eV/atom
calculated total energy: -28.51 eV per atom
density: 8.80 g/cm³

11.
This record from Alexandria describes a PBEsol-optimized structure of Na2LuMoPO8. The functional is SCAN.

Cell: 6.7255 11.8565 17.9492 Å, 90.00 90.00 90.00°
Space group Ibca (No. 73)
One atom of each set of equivalent atoms:
1 Na 0.0080 0.0609 0.1538
2 Lu 0.2500 0.1801 0.5000
3 Mo 0.0000 0.2500 0.3255
4 P 0.2500 0.0667 0.0000
5 O 0.0374 0.1291 0.7713
6 O 0.0713 0.1490 0.0065
7 O 0.2158 0.2286 0.3815
8 O 0.2417 0.0113 0.5685

total magnetization: 0.000 μB/atom
formation energy from raw total energies: -2.759 eV/atom
calculated total energy: -14.98 eV per atom
density: 4.42 g/cm³

12.
This record from Alexandria describes a PBEsol-optimized structure of Lu2MoO6. The functional is SCAN.

Cell: 15.9896 10.7144 5.1980 Å, 90.00 108.35 90.00°
Space group C2/c (No. 15)
One atom of each set of equivalent atoms:
1 Lu 0.0000 0.1050 0.2500
2 Lu 0.0000 0.3625 0.7500
3 Lu 0.1662 0.1164 0.8763
4 Mo 0.1550 0.3598 0.4353
5 O 0.0712 0.2338 0.5787
6 O 0.0791 0.4711 0.4873
7 O 0.0908 0.0191 0.0780
8 O 0.1052 0.2791 0.1190
9 O 0.2295 0.2945 0.7464
10 O 0.2390 0.4504 0.3608

total magnetization: 0.000 μB/atom
formation energy from raw total energies: -3.276 eV/atom
calculated total energy: -23.60 eV per atom
density: 8.52 g/cm³

13.
This record from Alexandria describes a PBEsol-optimized structure of Lu2Si4Mo3. The functional is SCAN.

Cell: 6.6135 12.7075 6.8185 Å, 90.00 90.00 90.00°
Space group Pnma (No. 62)
One atom of each set of equivalent atoms:
1 Lu 0.0032 0.0931 0.1683
2 Si 0.0336 0.2500 0.8692
3 Si 0.1618 0.0458 0.5403
4 Si 0.1985 0.7500 0.6345
5 Mo 0.1654 0.2500 0.4968
6 Mo 0.1700 0.6242 0.3345

total magnetization: 0.000 μB/atom
formation energy from raw total energies: -0.699 eV/atom
calculated total energy: -29.08 eV per atom
density: 8.69 g/cm³

14.
This record from Alexandria describes a PBEsol-optimized structure of NaLuP2O7. The functional is SCAN.

Cell: 9.0360 5.3647 13.7206 Å, 90.00 116.01 90.00°
Space group P2_1/c (No. 14)
One atom of each set of equivalent atoms:
1 Na 0.0503 0.2279 0.1926
2 Lu 0.2428 0.2363 0.9750
3 P 0.1815 0.7191 0.1173
4 P 0.3235 0.7487 0.3489
5 O 0.0251 0.7177 0.6294
6 O 0.1879 0.0581 0.5928
7 O 0.2100 0.6127 0.5386
8 O 0.2203 0.5335 0.8588
9 O 0.2352 0.5011 0.3427
10 O 0.3320 0.7205 0.7343
11 O 0.4996 0.2445 0.5665

total magnetization: 0.000 μB/atom
formation energy from raw total energies: -2.963 eV/atom
calculated total energy: -14.23 eV per atom
density: 4.13 g/cm³